Material: Ca3PmIn2
Method: DFT, PBE
State: relaxed

```
data_Ca3PmIn2
_space_group_name_H-M_alt 'P 1'
_space_group_IT_number 1
_space_group_name_Hall 'P 1'
_cell_length_a 5.344
_cell_length_b 9.923
_cell_length_c 7.175
_cell_angle_alpha 90.00
_cell_angle_beta 90.00
_cell_angle_gamma 90.00
loop_
_atom_site_label
_atom_site_fract_x
_atom_site_fract_y
_atom_site_fract_z
Ca1 0.000 0.050 0.000
Ca2 0.000 0.313 0.357
Ca3 0.000 0.687 0.857
Ca4 0.000 0.950 0.500
Ca5 0.500 0.181 0.711
Ca6 0.500 0.819 0.211
Pm1 0.500 0.454 0.065
Pm2 0.500 0.546 0.565
In1 0.000 0.366 0.815
In2 0.000 0.634 0.315
In3 0.500 0.146 0.249
In4 0.500 0.854 0.749
```

Properties
- D(E_F) (states/eV/atom) = 0.90
- E_form (meV/atom) = -366
- raw total energy (eV/atom) = -3.07

=====

Material: Ca2CdMo
Method: DFT, PBE
State: relaxed

```
data_Ca2CdMo
_space_group_name_H-M_alt 'P 1'
_space_group_IT_number 1
_space_group_name_Hall 'P 1'
_cell_length_a 10.967
_cell_length_b 10.967
_cell_length_c 10.967
_cell_angle_alpha 157.17
_cell_angle_beta 157.17
_cell_angle_gamma 32.51
loop_
_atom_site_label
_atom_site_fract_x
_atom_site_fract_y
_atom_site_fract_z
Ca1 0.118 0.625 0.993
Ca2 0.375 0.368 0.493
Ca3 0.632 0.125 0.007
Ca4 0.875 0.882 0.507
Cd1 0.250 0.750 0.500
Cd2 0.500 0.500 0.000
Mo1 0.000 0.000 0.000
Mo2 0.750 0.250 0.500
```

Properties
- D(E_F) (states/eV/atom) = 0.59
- E_form (meV/atom) = 850
- raw total energy (eV/atom) = -3.09

=====

Material: FeCl3
Method: DFT, PBE
State: relaxed

```
data_FeCl3
_space_group_name_H-M_alt 'P 1'
_space_group_IT_number 1
_space_group_name_Hall 'P 1'
_cell_length_a 3.751
_cell_length_b 7.259
_cell_length_c 10.545
_cell_angle_alpha 74.74
_cell_angle_beta 83.60
_cell_angle_gamma 79.47
loop_
_atom_site_label
_atom_site_fract_x
_atom_site_fract_y
_atom_site_fract_z
Fe1 0.000 0.000 0.000
Fe2 0.000 0.387 0.465
Cl1 0.060 0.405 0.258
Cl2 0.110 0.813 0.869
Cl3 0.480 0.935 0.137
Cl4 0.533 0.210 0.560
Cl5 0.889 0.663 0.510
Cl6 0.922 0.299 0.898
```

Properties
- raw formation energy (eV per atom) = -0.714
- raw total energy (eV/atom) = -4.21

=====

Material: Ce4Hg2Pb5
Method: DFT, PBE
State: relaxed

```
data_Ce4Hg2Pb5
_space_group_name_H-M_alt 'P 1'
_space_group_IT_number 1
_space_group_name_Hall 'P 1'
_cell_length_a 8.523
_cell_length_b 3.459
_cell_length_c 10.784
_cell_angle_alpha 90.00
_cell_angle_beta 92.86
_cell_angle_gamma 90.00
loop_
_atom_site_label
_atom_site_fract_x
_atom_site_fract_y
_atom_site_fract_z
Ce1 0.180 0.000 0.385
Ce2 0.269 0.000 0.930
Ce3 0.731 0.000 0.070
Ce4 0.820 0.000 0.615
Hg1 0.065 0.500 0.131
Hg2 0.935 0.500 0.869
Pb1 0.177 0.500 0.661
Pb2 0.429 0.500 0.193
Pb3 0.500 0.500 0.500
Pb4 0.571 0.500 0.807
Pb5 0.823 0.500 0.339
```

Properties
- D(E_F) (states/eV/atom) = 2.37
- E_form (meV/atom) = -321
- raw total energy (eV/atom) = -4.22

=====

Material: Hf3BiCl
Method: DFT, PBE
State: relaxed

```
data_Hf3BiCl
_space_group_name_H-M_alt 'P 1'
_space_group_IT_number 1
_space_group_name_Hall 'P 1'
_cell_length_a 4.813
_cell_length_b 4.813
_cell_length_c 4.813
_cell_angle_alpha 90.00
_cell_angle_beta 90.00
_cell_angle_gamma 90.00
loop_
_atom_site_label
_atom_site_fract_x
_atom_site_fract_y
_atom_site_fract_z
Hf1 0.000 0.000 0.500
Hf2 0.000 0.500 0.000
Hf3 0.500 0.000 0.000
Bi1 0.500 0.500 0.500
Cl1 0.000 0.000 0.000
```

Properties
- raw formation energy (eV per atom) = 0.229
- D(E_F) (states/eV/atom) = 1.27
- raw total energy (eV/atom) = -6.89

=====

Material: ErTmAg2
Method: DFT, PBE
State: relaxed

```
data_ErTmAg2
_space_group_name_H-M_alt 'P 1'
_space_group_IT_number 1
_space_group_name_Hall 'P 1'
_cell_length_a 5.114
_cell_length_b 5.114
_cell_length_c 3.558
_cell_angle_alpha 90.00
_cell_angle_beta 90.00
_cell_angle_gamma 90.00
loop_
_atom_site_label
_atom_site_fract_x
_atom_site_fract_y
_atom_site_fract_z
Er1 0.000 0.000 0.000
Tm1 0.500 0.500 0.000
Ag1 0.000 0.500 0.500
Ag2 0.500 0.000 0.500
```

Properties
- D(E_F) (states/eV/atom) = 0.52
- E_form (meV/atom) = -336
- raw total energy (eV/atom) = -4.02

=====

Material: SrLi5Ga2
Method: DFT, PBE
State: relaxed

```
data_SrLi5Ga2
_space_group_name_H-M_alt 'P 1'
_space_group_IT_number 1
_space_group_name_Hall 'P 1'
_cell_length_a 7.034
_cell_length_b 7.034
_cell_length_c 7.034
_cell_angle_alpha 146.18
_cell_angle_beta 108.27
_cell_angle_gamma 81.71
loop_
_atom_site_label
_atom_site_fract_x
_atom_site_fract_y
_atom_site_fract_z
Sr1 0.000 0.000 0.000
Li1 0.153 0.337 0.816
Li2 0.478 0.663 0.816
Li3 0.500 0.000 0.500
Li4 0.522 0.337 0.184
Li5 0.847 0.663 0.184
Ga1 0.246 0.746 0.500
Ga2 0.754 0.254 0.500
```

Properties
- D(E_F) (states/eV/atom) = 0.38
- E_form (meV/atom) = -164
- raw total energy (eV/atom) = -2.33

=====

Material: NbTeWN2
Method: DFT, PBE
State: relaxed

```
data_NbTeWN2
_space_group_name_H-M_alt 'P 1'
_space_group_IT_number 1
_space_group_name_Hall 'P 1'
_cell_length_a 3.976
_cell_length_b 3.976
_cell_length_c 5.644
_cell_angle_alpha 90.00
_cell_angle_beta 90.00
_cell_angle_gamma 90.00
loop_
_atom_site_label
_atom_site_fract_x
_atom_site_fract_y
_atom_site_fract_z
Nb1 0.000 0.000 0.000
Te1 0.500 0.500 0.000
W1 0.500 0.500 0.500
N1 0.000 0.500 0.500
N2 0.500 0.000 0.500
```

Properties
- raw formation energy (eV per atom) = 0.743
- D(E_F) (states/eV/atom) = 1.05
- raw total energy (eV/atom) = -7.82

=====

Material: Ce5SiS4
Method: DFT, PBE
State: relaxed

```
data_Ce5SiS4
_space_group_name_H-M_alt 'P 1'
_space_group_IT_number 1
_space_group_name_Hall 'P 1'
_cell_length_a 7.030
_cell_length_b 7.030
_cell_length_c 7.030
_cell_angle_alpha 99.57
_cell_angle_beta 99.57
_cell_angle_gamma 131.87
loop_
_atom_site_label
_atom_site_fract_x
_atom_site_fract_y
_atom_site_fract_z
Ce1 0.000 0.000 0.000
Ce2 0.197 0.601 0.798
Ce3 0.399 0.197 0.596
Ce4 0.601 0.803 0.404
Ce5 0.803 0.399 0.202
Si1 0.500 0.500 0.000
S1 0.102 0.300 0.401
S2 0.300 0.898 0.198
S3 0.700 0.102 0.802
S4 0.898 0.700 0.599
```

Properties
- raw formation energy (eV per atom) = -1.761
- D(E_F) (states/eV/atom) = 2.16
- raw total energy (eV/atom) = -6.92

=====

Material: LiThAlFe
Method: DFT, PBE
State: relaxed

```
data_LiThAlFe
_space_group_name_H-M_alt 'P 1'
_space_group_IT_number 1
_space_group_name_Hall 'P 1'
_cell_length_a 4.633
_cell_length_b 4.633
_cell_length_c 4.633
_cell_angle_alpha 60.00
_cell_angle_beta 60.00
_cell_angle_gamma 60.00
loop_
_atom_site_label
_atom_site_fract_x
_atom_site_fract_y
_atom_site_fract_z
Li1 0.000 0.000 0.000
Th1 0.250 0.250 0.250
Al1 0.750 0.750 0.750
Fe1 0.500 0.500 0.500
```

Properties
- D(E_F) (states/eV/atom) = 0.61
- E_form (meV/atom) = -87
- raw total energy (eV/atom) = -5.47

=====

Material: YAsBr
Method: DFT, PBE
State: relaxed

```
data_YAsBr
_space_group_name_H-M_alt 'P 1'
_space_group_IT_number 1
_space_group_name_Hall 'P 1'
_cell_length_a 4.943
_cell_length_b 4.943
_cell_length_c 4.943
_cell_angle_alpha 60.00
_cell_angle_beta 60.00
_cell_angle_gamma 60.00
loop_
_atom_site_label
_atom_site_fract_x
_atom_site_fract_y
_atom_site_fract_z
Y1 0.000 0.000 0.000
As1 0.250 0.250 0.250
Br1 0.500 0.500 0.500
```

Properties
- raw formation energy (eV per atom) = -0.425
- D(E_F) (states/eV/atom) = 1.85
- raw total energy (eV/atom) = -4.69

=====

Material: PPtCl2
Method: DFT, PBE
State: relaxed

```
data_PPtCl2
_space_group_name_H-M_alt 'P 1'
_space_group_IT_number 1
_space_group_name_Hall 'P 1'
_cell_length_a 4.568
_cell_length_b 4.568
_cell_length_c 4.568
_cell_angle_alpha 60.00
_cell_angle_beta 60.00
_cell_angle_gamma 60.00
loop_
_atom_site_label
_atom_site_fract_x
_atom_site_fract_y
_atom_site_fract_z
P1 0.000 0.000 0.000
Pt1 0.250 0.250 0.250
Cl1 0.500 0.500 0.500
Cl2 0.750 0.750 0.750
```

Properties
- raw formation energy (eV per atom) = 0.611
- D(E_F) (states/eV/atom) = 0.65
- raw total energy (eV/atom) = -3.17

=====

Q: Number 12 is which compound?
A: PPtCl2